SrHgPS4: relaxed, GGA-PBE.

abc: 6.9414 6.4681 8.0427
angles: 90.00 103.64 90.00
Positions (direct):
Sr1 0.2490 0.2500 0.4334
Sr2 0.7510 0.7500 0.5666
Hg1 0.2207 0.2500 0.9260
Hg2 0.7793 0.7500 0.0740
P1 0.2910 0.7500 0.7066
P2 0.7090 0.2500 0.2934
S1 0.1041 0.7500 0.8754
S2 0.1371 0.7500 0.4532
S3 0.4761 0.0012 0.7496
S4 0.4761 0.4988 0.7496
S5 0.5239 0.5012 0.2504
S6 0.5239 0.9988 0.2504
S7 0.8629 0.2500 0.5468
S8 0.8959 0.2500 0.1246

- E_form (uncorrected) (eV/atom) = -0.696
- total moment (Bohr magnetons per cell) = 0.000

=====

SrHgP2S: relaxed, GGA-PBE.

abc: 5.7671 5.7671 5.5198
angles: 90.00 90.00 90.00
Positions (direct):
Sr1 0.0000 0.0000 0.0000
Hg1 0.5000 0.5000 0.5000
P1 0.0000 0.5000 0.0000
P2 0.5000 0.0000 0.0000
S1 0.0000 0.0000 0.5000

- excess energy over the best structure of this formula in the dataset (meV/atom) = 691
- E_form (uncorrected) (eV/atom) = 0.929
- total moment (Bohr magnetons per cell) = 1.357

=====

TaHgPS6: relaxed, GGA-PBE.

abc: 6.1795 6.1795 5.7803
angles: 90.00 90.00 120.00
Positions (direct):
Ta1 0.0000 0.0000 0.0000
Hg1 0.3333 0.6667 0.5000
P1 0.6667 0.3333 0.0000
S1 0.3523 0.0554 0.7693
S2 0.3523 0.2970 0.2307
S3 0.7030 0.0554 0.2307
S4 0.7030 0.6477 0.7693
S5 0.9446 0.2970 0.7693
S6 0.9446 0.6477 0.2307

- E_form (uncorrected) (eV/atom) = -0.243
- total moment (Bohr magnetons per cell) = 0.000

=====

TaHgP2S: relaxed, GGA-PBE.

abc: 4.9159 4.9159 4.7280
angles: 90.00 90.00 90.00
Positions (direct):
Ta1 0.0000 0.0000 0.0000
Hg1 0.5000 0.5000 0.5000
P1 0.0000 0.5000 0.0000
P2 0.5000 0.0000 0.0000
S1 0.0000 0.0000 0.5000

- excess energy over the best structure of this formula in the dataset (meV/atom) = 0
- E_form (uncorrected) (eV/atom) = 0.175
- total moment (Bohr magnetons per cell) = 0.000

=====

TaHgPS2: relaxed, GGA-PBE.

abc: 4.7752 4.7752 4.8956
angles: 90.00 90.00 90.00
Positions (direct):
Ta1 0.0000 0.0000 0.0000
Hg1 0.5000 0.5000 0.5000
P1 0.5000 0.5000 0.0000
S1 0.0000 0.5000 0.5000
S2 0.5000 0.0000 0.5000

- excess energy over the best structure of this formula in the dataset (meV/atom) = 1599
- E_form (uncorrected) (eV/atom) = 1.534
- total moment (Bohr magnetons per cell) = 0.000

=====

TaHgP2S: relaxed, GGA-PBE.

abc: 4.8229 4.8229 4.7737
angles: 90.00 90.00 90.00
Positions (direct):
Ta1 0.0000 0.0000 0.0000
Hg1 0.5000 0.5000 0.5000
P1 0.0000 0.5000 0.5000
P2 0.5000 0.0000 0.5000
S1 0.5000 0.5000 0.0000

- excess energy over the best structure of this formula in the dataset (meV/atom) = 1488
- E_form (uncorrected) (eV/atom) = 1.664
- total moment (Bohr magnetons per cell) = 0.000

=====

TaHgPS2: relaxed, GGA-PBE.

abc: 4.7482 4.7482 5.0579
angles: 90.00 90.00 90.00
Positions (direct):
Ta1 0.0000 0.0000 0.0000
Hg1 0.5000 0.5000 0.5000
P1 0.0000 0.0000 0.5000
S1 0.0000 0.5000 0.0000
S2 0.5000 0.0000 0.0000

- excess energy over the best structure of this formula in the dataset (meV/atom) = 0
- E_form (uncorrected) (eV/atom) = -0.065
- total moment (Bohr magnetons per cell) = 0.000

=====

Tb6HgP3S2: relaxed, GGA-PBE.

abc: 9.0135 9.0135 8.1627
angles: 102.36 102.36 25.69
Positions (direct):
Tb1 0.0019 0.0019 0.2726
Tb2 0.3250 0.3250 0.9117
Tb3 0.3346 0.3346 0.4094
Tb4 0.6654 0.6654 0.5906
Tb5 0.6750 0.6750 0.0883
Tb6 0.9981 0.9981 0.7274
Hg1 0.5000 0.5000 0.0000
P1 0.1652 0.1652 0.8348
P2 0.5000 0.5000 0.5000
P3 0.8348 0.8348 0.1652
S1 0.1696 0.1696 0.3403
S2 0.8304 0.8304 0.6597

- E_form (uncorrected) (eV/atom) = -1.557
- total moment (Bohr magnetons per cell) = 0.000